# 1
Material: MgCdGeF6
Method: DFT, PBE
State: optimized geometry

Uncorrected energy in eV for the cell shown: -41.23
ΔE_f (raw) in meV/atom: -2542

Lattice parameters (Å, degrees): 5.573 5.573 4.756 90.00 90.00 120.00
Positions (direct):
Mg 0.000 0.000 0.000
Cd 0.667 0.333 0.000
Ge 0.333 0.667 0.500
F 0.008 0.310 0.233
F 0.008 0.698 0.767
F 0.302 0.310 0.767
F 0.302 0.992 0.233
F 0.690 0.698 0.233
F 0.690 0.992 0.767


# 2
Material: LiMnCuPt
Method: DFT, PBE
State: optimized geometry

Formation enthalpy at 0 K in kJ/mol of formula units: -93
Uncorrected energy in eV for the cell shown: -88.75

Lattice parameters (Å, degrees): 6.021 6.021 6.021 90.00 90.00 90.00
Positions (direct):
Li 0.000 0.000 0.000
Li 0.000 0.500 0.500
Li 0.500 0.000 0.500
Li 0.500 0.500 0.000
Mn 0.000 0.000 0.500
Mn 0.000 0.500 0.000
Mn 0.500 0.000 0.000
Mn 0.500 0.500 0.500
Cu 0.250 0.250 0.250
Cu 0.250 0.750 0.750
Cu 0.750 0.250 0.750
Cu 0.750 0.750 0.250
Pt 0.250 0.250 0.750
Pt 0.250 0.750 0.250
Pt 0.750 0.250 0.250
Pt 0.750 0.750 0.750